# AlFe5B2W2

AlFe5B2W2 after structural relaxation (PBE, the Alexandria database).

Lattice parameters (Å, degrees): 2.802 8.690 8.690 90.00 90.00 90.00
Atoms (fractional coordinates):
Fe 0.500 0.000 0.500
B 0.000 0.878 0.378
Fe 0.500 0.219 0.066
Fe 0.500 0.719 0.434
Al 0.000 0.500 0.500
Fe 0.500 0.781 0.934
W 0.000 0.822 0.678
W 0.000 0.678 0.178
Fe 0.500 0.500 0.000
Fe 0.500 0.434 0.281
W 0.000 0.322 0.822
B 0.000 0.378 0.122
Fe 0.500 0.566 0.719
B 0.000 0.122 0.622
Al 0.000 0.000 0.000
Fe 0.500 0.281 0.566
Fe 0.500 0.934 0.219
B 0.000 0.622 0.878
Fe 0.500 0.066 0.781
W 0.000 0.178 0.322

Properties
E   -88.76 eV/f.u.
DFT formation energy   -345 meV/atom
SG   P4/mbm, No. 127